#a
A plane-wave DFT calculation with GGA-PBE was carried out for an optimized crystal structure of Tb4BiPd.

Results
The symmetry is P2_1/m, No. 11. Its density of states at the Fermi level is 0.92 states/eV/atom.

a = 6.1788 Å, b = 6.6997 Å, c = 8.8964 Å
α = 90.00°, β = 110.35°, γ = 90.00°
Closest atoms and distances in Å follow each position.
Element x y z (fractional)
1 Tb 0.0067 0.0011 0.2101  2 Pd 2.86-2.95
2 Tb 0.0067 0.4989 0.2101  2 Pd 2.86-2.95
3 Tb 0.3940 0.2500 0.6168  1 Pd 2.89
4 Tb 0.4274 0.2500 0.0912  1 Pd 2.78
5 Tb 0.5726 0.7500 0.9088  1 Pd 2.78
6 Tb 0.6060 0.7500 0.3832  1 Pd 2.89
7 Tb 0.9933 0.5011 0.7899  2 Pd 2.86-2.95
8 Tb 0.9933 0.9989 0.7899  2 Pd 2.86-2.95
9 Bi 0.2125 0.7500 0.5486  9 Tb 3.20-3.52
10 Bi 0.7875 0.2500 0.4514  9 Tb 3.20-3.52
11 Pd 0.2559 0.7500 0.0669  6 Tb 2.78-2.95
12 Pd 0.7441 0.2500 0.9331  6 Tb 2.78-2.95

---

#b
A plane-wave DFT calculation with GGA-PBE was carried out for an optimized crystal structure of Tb4BiPd.

Results
The symmetry is Cmcm, No. 63. Its density of states at the Fermi level is 0.94 states/eV/atom.

a = 10.5050 Å, b = 10.5050 Å, c = 6.4031 Å
α = 90.00°, β = 90.00°, γ = 149.34°
Closest atoms and distances in Å follow each position.
Element x y z (fractional)
1 Tb 0.0507 0.9493 0.7500  1 Pd 2.72
2 Tb 0.2031 0.7969 0.5018  1 Pd 2.91, 2 Tb 3.18-3.22
3 Tb 0.2031 0.7969 0.9982  1 Pd 2.91, 2 Tb 3.18-3.22
4 Tb 0.3890 0.6110 0.7500  2 Pd 2.83
5 Tb 0.6110 0.3890 0.2500  2 Pd 2.83
6 Tb 0.7969 0.2031 0.0018  1 Pd 2.91, 2 Tb 3.18-3.22
7 Tb 0.7969 0.2031 0.4982  1 Pd 2.91, 2 Tb 3.18-3.22
8 Tb 0.9493 0.0507 0.2500  1 Pd 2.72
9 Bi 0.3524 0.6476 0.2500  10 Tb 3.29-3.43
10 Bi 0.6476 0.3524 0.7500  10 Tb 3.29-3.43
11 Pd 0.0835 0.9165 0.2500  5 Tb 2.72-2.91
12 Pd 0.9165 0.0835 0.7500  5 Tb 2.72-2.91

---

Ranked by calculated energy, most stable first: #a, #b.

---

#a
A plane-wave DFT calculation with GGA-PBE was carried out for an optimized crystal structure of TcBi2Pd.

Results
The symmetry is I-42d, No. 122. Its density of states at the Fermi level is 0.72 states/eV/atom.

a = 7.6166 Å, b = 7.6166 Å, c = 7.6166 Å
α = 132.19°, β = 132.19°, γ = 69.92°
Closest atoms and distances in Å follow each position.
Element x y z (fractional)
1 Tc 0.0000 0.0000 0.0000  4 Bi 2.65
2 Tc 0.7500 0.2500 0.5000  4 Bi 2.65
3 Bi 0.1161 0.6250 0.9911  2 Tc 2.65, 2 Pd 2.71
4 Bi 0.3750 0.3661 0.4911  2 Tc 2.65, 2 Pd 2.71
5 Bi 0.6339 0.1250 0.0089  2 Tc 2.65, 2 Pd 2.71
6 Bi 0.8750 0.8839 0.5089  2 Tc 2.65, 2 Pd 2.71
7 Pd 0.2500 0.7500 0.5000  4 Bi 2.71
8 Pd 0.5000 0.5000 0.0000  4 Bi 2.71

---

#b
A plane-wave DFT calculation with GGA-PBE was carried out for an optimized crystal structure of TcBi2Pd.

Results
The symmetry is Fm-3m, No. 225. Its density of states at the Fermi level is 0.74 states/eV/atom.

a = 4.9333 Å, b = 4.9333 Å, c = 4.9333 Å
α = 60.00°, β = 60.00°, γ = 60.00°
Closest atoms and distances in Å follow each position.
Element x y z (fractional)
1 Tc 0.0000 0.0000 0.0000  8 Bi 3.02
2 Bi 0.2500 0.2500 0.2500  4 Tc 3.02, 4 Pd 3.02
3 Bi 0.7500 0.7500 0.7500  4 Tc 3.02, 4 Pd 3.02
4 Pd 0.5000 0.5000 0.5000  8 Bi 3.02

---

Ranked by calculated energy, most stable first: #b, #a.

---

#a
A plane-wave DFT calculation with GGA-PBE was carried out for an optimized crystal structure of Bi2TePd2.

Results
The symmetry is I4/mmm, No. 139. Its density of states at the Fermi level is 0.54 states/eV/atom.

a = 8.4637 Å, b = 8.4637 Å, c = 8.4637 Å
α = 152.80°, β = 152.80°, γ = 38.85°
Closest atoms and distances in Å follow each position.
Element x y z (fractional)
1 Bi 0.1240 0.1240 0.0000  4 Pd 2.83
2 Bi 0.8760 0.8760 0.0000  4 Pd 2.83
3 Te 0.5000 0.5000 0.0000  8 Bi 3.44
4 Pd 0.2500 0.7500 0.5000  4 Pd 2.81, 4 Bi 2.83
5 Pd 0.7500 0.2500 0.5000  4 Pd 2.81, 4 Bi 2.83

---

#b
A plane-wave DFT calculation with GGA-PBE was carried out for an optimized crystal structure of Bi2TePd2.

Results
The symmetry is Cmc2_1, No. 36. Its density of states at the Fermi level is 0.49 states/eV/atom.

a = 6.6767 Å, b = 6.6767 Å, c = 10.0335 Å
α = 90.00°, β = 90.00°, γ = 146.49°
Closest atoms and distances in Å follow each position.
Element x y z (fractional)
1 Bi 0.0977 0.9023 0.5000  4 Pd 2.80-2.83
2 Bi 0.3324 0.6676 0.6916  5 Pd 2.83-3.08
3 Bi 0.6676 0.3324 0.1916  5 Pd 2.83-3.08
4 Bi 0.9023 0.0977 0.0000  4 Pd 2.80-2.83
5 Te 0.3729 0.6271 0.3374  4 Pd 2.78-2.79
6 Te 0.6271 0.3729 0.8374  4 Pd 2.78-2.79
7 Pd 0.0108 0.9892 0.2426  2 Te 2.78, 4 Bi 2.80-2.83
8 Pd 0.2416 0.7584 0.9755  2 Te 2.79, 5 Bi 2.83-3.08
9 Pd 0.7584 0.2416 0.4755  2 Te 2.79, 5 Bi 2.83-3.08
10 Pd 0.9892 0.0108 0.7426  2 Te 2.78, 4 Bi 2.80-2.83

---

Ranked by calculated energy, most stable first: #b, #a.